Record 1
# PBE TbGa3NiAg, optimized geometry
data_TbGa3NiAg
_space_group_name_H-M_alt 'C m c m'
_space_group_IT_number 63
_space_group_name_Hall '-C 2c 2'
_cell_length_a 5.8525
_cell_length_b 12.4058
_cell_length_c 6.0892
_cell_angle_alpha 90.00
_cell_angle_beta 90.00
_cell_angle_gamma 90.00
loop_
_atom_site_label
_atom_site_type_symbol
_atom_site_fract_x
_atom_site_fract_y
_atom_site_fract_z
Tb1 Tb 0.0000 0.2153 0.2500
Ga1 Ga 0.0000 0.3661 0.7500
Ga2 Ga 0.2185 0.0000 0.0000
Ni1 Ni 0.0000 0.4278 0.2500
Ag1 Ag 0.0000 0.1562 0.7500
# DFT total energy (eV for the cell shown): -95.9
# Formation energy from the elements (eV per atom): -0.27

=====

Record 2
# PBE RbUI4, optimized geometry
data_RbUI4
_space_group_name_H-M_alt 'C 1 2/c 1'
_space_group_IT_number 15
_cell_length_a 11.1848
_cell_length_b 17.5199
_cell_length_c 7.8483
_cell_angle_alpha 90.00
_cell_angle_beta 124.72
_cell_angle_gamma 90.00
loop_
_space_group_symop_operation_xyz
'x,y,z'
'-x,-y,-z'
'-x,y,-z+1/2'
'x,-y,z+1/2'
'x+1/2,y+1/2,z'
'-x+1/2,-y+1/2,-z'
'-x+1/2,y+1/2,-z+1/2'
'x+1/2,-y+1/2,z+1/2'
loop_
_atom_site_label
_atom_site_type_symbol
_atom_site_fract_x
_atom_site_fract_y
_atom_site_fract_z
Rb1 Rb 0.0000 0.1561 0.2500
U1 U 0.0000 0.4253 0.7500
I1 I 0.1592 0.2993 0.6859
I2 I 0.2120 0.4550 0.2325
# DFT total energy (eV for the cell shown): -98.4
# Raw formation energy (meV per atom): -1023.6